A relaxed DyZr3 crystal, computed with GGA-PBE.

abc: 5.645 5.645 5.645
angles: 131.54 131.54 70.95
Positions (direct):
1 Dy 0.000 0.000 0.000
2 Zr 0.250 0.750 0.500
3 Zr 0.500 0.500 0.000
4 Zr 0.750 0.250 0.500

Fermi-level density of states: 5.72 states/eV/f.u.
Energy relative to the lowest polymorph listed for this composition: 0.058 eV per atom
SG: I4/mmm, No. 139
Uncorrected energy: -7.452 eV/atom